Record 1
! ScAgTe2 GGA-PBEsol optimized geometry; values from VASP
! **Space-group type**: P4mm (99)
! **Energy**: -19.81 eV/cell
! **Formation energy without anion corrections**: -274 kJ/mol of formula units
! **M_tot**: 0.0 μB/f.u.
&SYSTEM
  ibrav = 0, nat = 4, ntyp = 3
/
ATOMIC_SPECIES
Sc 44.96 Sc.upf
Ag 107.87 Ag.upf
Te 127.60 Te.upf
CELL_PARAMETERS angstrom
3.961 0.000 0.000
0.000 3.961 0.000
0.000 0.000 6.200
ATOMIC_POSITIONS angstrom
Sc 0.000 0.000 0.000
Ag 1.981 1.981 4.254
Te 0.000 0.000 3.427
Te 1.981 1.981 0.809


Record 2
! MnMo3As GGA-PBEsol optimized geometry; values from VASP
! **Space-group type**: Pm-3m (221)
! **ΔE_f**: 5.9 eV per formula unit
! **Energy**: -44.23 eV/cell
! **M_tot**: 0.0 μB/f.u.
&SYSTEM
  ibrav = 0, nat = 5, ntyp = 3
/
ATOMIC_SPECIES
Mn 54.94 Mn.upf
Mo 95.94 Mo.upf
As 74.92 As.upf
CELL_PARAMETERS angstrom
4.407 0.000 0.000
0.000 4.407 0.000
0.000 0.000 4.407
ATOMIC_POSITIONS angstrom
Mn 0.000 0.000 0.000
Mo 0.000 0.000 2.203
Mo 0.000 2.203 0.000
Mo 2.203 0.000 0.000
As 2.203 2.203 2.203


Record 3
! Ba2LaAu GGA-PBEsol optimized geometry; values from VASP
! **Space-group type**: P4mm (99)
! **ΔE_f**: -1.2 eV per formula unit
! **Offset from the most stable computed form**: 0 meV/atom
! **Energy**: -14.78 eV/cell
! **M_tot**: 0.0 μB/f.u.
&SYSTEM
  ibrav = 0, nat = 4, ntyp = 3
/
ATOMIC_SPECIES
Ba 137.33 Ba.upf
La 138.91 La.upf
Au 196.97 Au.upf
CELL_PARAMETERS angstrom
3.919 0.000 0.000
0.000 3.919 0.000
0.000 0.000 10.245
ATOMIC_POSITIONS angstrom
Ba 0.000 0.000 0.000
Ba 1.959 1.959 3.594
La 0.000 0.000 6.715
Au 1.959 1.959 8.103


Record 4
! AlCrRh2Br GGA-PBEsol optimized geometry; values from VASP
! **Space-group type**: P4/mmm (123)
! **Energy**: -26.26 eV/cell
! **Formation energy without anion corrections**: 601 kJ/mol of formula units
! **M_tot**: 4.3 μB/f.u.
&SYSTEM
  ibrav = 0, nat = 5, ntyp = 4
/
ATOMIC_SPECIES
Al 26.98 Al.upf
Cr 52.00 Cr.upf
Rh 102.91 Rh.upf
Br 79.90 Br.upf
CELL_PARAMETERS angstrom
4.526 0.000 0.000
0.000 4.526 0.000
0.000 0.000 4.800
ATOMIC_POSITIONS angstrom
Al 0.000 0.000 0.000
Cr 2.263 2.263 0.000
Rh 0.000 2.263 2.400
Rh 2.263 0.000 2.400
Br 0.000 0.000 2.400


Number 1: DOS at the Fermi energy 0.82 states/eV/cell. Number 2: DOS at the Fermi energy 6.62 states/eV/cell. Number 3: DOS at the Fermi energy 5.67 states/eV/cell. Number 4: DOS at the Fermi energy 5.20 states/eV/cell.